1.
# MgZnOs3, optimized geometry, DFT PBE
# total energy: -0.364 Ry per atom
# energy relative to the elements: 2.353 eV per atom
# energy above the lowest structure with this stoichiometry: 0.5114 eV per atom
# M_tot: 0.335 μB/atom
data_MgZnOs3
_symmetry_space_group_name_H-M 'P m -3 m'
_symmetry_Int_Tables_number 221
_symmetry_space_group_name_Hall '-P 4 2 3'
_cell_length_a 4.473
_cell_length_b 4.473
_cell_length_c 4.473
_cell_angle_alpha 90.00
_cell_angle_beta 90.00
_cell_angle_gamma 90.00
loop_
_atom_site_label
_atom_site_type_symbol
_atom_site_fract_x
_atom_site_fract_y
_atom_site_fract_z
Mg1 Mg 0.000 0.000 0.000
Zn1 Zn 0.500 0.500 0.500
Os1 Os 0.000 0.000 0.500

=====

2.
# SbTe2H2, optimized geometry, DFT PBE
# total energy: -0.230 Ry per atom
# M_tot: 0.000 μB/atom
data_SbTe2H2
_symmetry_space_group_name_H-M 'P 4/m b m'
_symmetry_Int_Tables_number 127
_symmetry_space_group_name_Hall '-P 4 2ab'
_cell_length_a 8.525
_cell_length_b 8.525
_cell_length_c 3.595
_cell_angle_alpha 90.00
_cell_angle_beta 90.00
_cell_angle_gamma 90.00
loop_
_atom_site_label
_atom_site_type_symbol
_atom_site_fract_x
_atom_site_fract_y
_atom_site_fract_z
Sb1 Sb 0.000 0.000 0.000
Te1 Te 0.197 0.303 0.000
H1 H 0.243 0.743 0.500

=====

Copy entry 1 word for word.
# MgZnOs3, optimized geometry, DFT PBE
# total energy: -0.364 Ry per atom
# energy relative to the elements: 2.353 eV per atom
# energy above the lowest structure with this stoichiometry: 0.5114 eV per atom
# M_tot: 0.335 μB/atom
data_MgZnOs3
_symmetry_space_group_name_H-M 'P m -3 m'
_symmetry_Int_Tables_number 221
_symmetry_space_group_name_Hall '-P 4 2 3'
_cell_length_a 4.473
_cell_length_b 4.473
_cell_length_c 4.473
_cell_angle_alpha 90.00
_cell_angle_beta 90.00
_cell_angle_gamma 90.00
loop_
_atom_site_label
_atom_site_type_symbol
_atom_site_fract_x
_atom_site_fract_y
_atom_site_fract_z
Mg1 Mg 0.000 0.000 0.000
Zn1 Zn 0.500 0.500 0.500
Os1 Os 0.000 0.000 0.500

=====

Which of these has the highest M_tot? MgZnOs3

=====

Copy entry 1 word for word.
# MgZnOs3, optimized geometry, DFT PBE
# total energy: -0.364 Ry per atom
# energy relative to the elements: 2.353 eV per atom
# energy above the lowest structure with this stoichiometry: 0.5114 eV per atom
# M_tot: 0.335 μB/atom
data_MgZnOs3
_symmetry_space_group_name_H-M 'P m -3 m'
_symmetry_Int_Tables_number 221
_symmetry_space_group_name_Hall '-P 4 2 3'
_cell_length_a 4.473
_cell_length_b 4.473
_cell_length_c 4.473
_cell_angle_alpha 90.00
_cell_angle_beta 90.00
_cell_angle_gamma 90.00
loop_
_atom_site_label
_atom_site_type_symbol
_atom_site_fract_x
_atom_site_fract_y
_atom_site_fract_z
Mg1 Mg 0.000 0.000 0.000
Zn1 Zn 0.500 0.500 0.500
Os1 Os 0.000 0.000 0.500

=====

Which formula does entry 1 have? MgZnOs3